1.
Crystalline MnPPtCl2 at its relaxed geometry, computed with PBE-GGA.

Cell: 4.9131 4.9131 4.7167 Å, 90.00 90.00 90.00°
With the nearest neighbours (Å) after each atom.
Atoms (fractional coordinates):
P  0.0000  0.0000  0.5000  2 Pt 2.36
Mn  0.5000  0.5000  0.5000  8 Cl 3.41, 4 P 3.47
Pt  0.0000  0.0000  0.0000  2 P 2.36, 4 Cl 2.46
Cl  0.0000  0.5000  0.0000  2 Pt 2.46
Cl  0.5000  0.0000  0.0000  2 Pt 2.46

Results
symmetry = P4/mmm (123)

***

2.
Crystalline RbLa2F at its relaxed geometry, computed with PBE-GGA.

Cell: 5.7513 5.7513 5.7513 Å, 60.00 60.00 60.00°
With the nearest neighbours (Å) after each atom.
Atoms (fractional coordinates):
F  0.0000  0.0000  0.0000  8 La 3.52
Rb  0.5000  0.5000  0.5000  8 La 3.52
La  0.2500  0.2500  0.2500  4 Rb 3.52, 4 F 3.52
La  0.7500  0.7500  0.7500  4 Rb 3.52, 4 F 3.52

Results
symmetry = Fm-3m (225)

***

no.,Fermi-level density of states (states/eV/f.u.),uncorrected formation energy (eV/atom),offset from the most stable computed form (meV/atom)
1,2.7,0.390,0.0
2,7.6,0.088,905.3